VASP calculation (PBE+U) on an optimized crystal structure of Zn2FeAsF.

It has space group P4/mmm (No. 123), with a = 5.0543 Å, b = 5.0543 Å, c = 3.7606 Å, α = 90.00°, β = 90.00° and γ = 90.00°. The asymmetric unit holds Zn at (0.0000, 0.5000, 0.0000), Fe at (0.0000, 0.0000, 0.0000), As at (0.5000, 0.5000, 0.5000) and F at (0.0000, 0.0000, 0.5000).

For the uncorrected energy, the calculation gives -14.94 eV for the cell shown. For the density of states at the Fermi level, the calculation gives 2.536 states/eV/cell.